Compound: H10AuC10S8N2O2
Source: OQMD via LeMat-Bulk
Functional: PBE
Structure: relaxed

Results
Space group: P2_1/c
Raw total energy: -5.78 eV per atom

Lattice parameters (Å, degrees): 5.0039 27.2443 7.8100 90.00 127.78 90.00
Positions (direct):
H1 0.0489 0.1467 0.0060
H2 0.0489 0.3533 0.5060
H3 0.0494 0.7451 0.9285
H4 0.0494 0.7549 0.4285
H5 0.1225 0.6753 0.2222
H6 0.1225 0.8247 0.7222
H7 0.1791 0.1988 0.9403
H8 0.1791 0.3012 0.4403
H9 0.2752 0.2157 0.2763
H10 0.2752 0.2843 0.7763
H11 0.7248 0.7157 0.2237
H12 0.7248 0.7843 0.7237
H13 0.8209 0.6988 0.5597
H14 0.8209 0.8012 0.0597
H15 0.8775 0.1753 0.2778
H16 0.8775 0.3247 0.7778
H17 0.9506 0.2451 0.5715
H18 0.9506 0.2549 0.0715
H19 0.9511 0.6467 0.4940
H20 0.9511 0.8533 0.9940
Au1 0.5000 0.0000 0.5000
Au2 0.5000 0.5000 0.0000
C1 0.0101 0.2166 0.1283
C2 0.0101 0.2834 0.6283
C3 0.0102 0.6856 0.5416
C4 0.0102 0.8144 0.0416
C5 0.0761 0.5902 0.9687
C6 0.0761 0.9098 0.4687
C7 0.1431 0.0661 0.7294
C8 0.1431 0.4339 0.2294
C9 0.3630 0.1404 0.6809
C10 0.3630 0.3596 0.1809
C11 0.6370 0.6404 0.8191
C12 0.6370 0.8596 0.3191
C13 0.8569 0.5661 0.7706
C14 0.8569 0.9339 0.2706
C15 0.9239 0.0902 0.5313
C16 0.9239 0.4098 0.0313
C17 0.9898 0.1856 0.9584
C18 0.9898 0.3144 0.4584
C19 0.9899 0.7166 0.3717
C20 0.9899 0.7834 0.8717
S1 0.0587 0.0137 0.8089
S2 0.0587 0.4863 0.3089
S3 0.4145 0.6901 0.8080
S4 0.4145 0.8099 0.3080
S5 0.4789 0.5979 0.6100
S6 0.4789 0.9021 0.1100
S7 0.4804 0.5694 0.1699
S8 0.4804 0.9306 0.6699
S9 0.5196 0.0694 0.3301
S10 0.5196 0.4306 0.8301
S11 0.5211 0.0979 0.8900
S12 0.5211 0.4021 0.3900
S13 0.5855 0.1901 0.6920
S14 0.5855 0.3099 0.1920
S15 0.9413 0.5137 0.6911
S16 0.9413 0.9863 0.1911
N1 0.0503 0.1317 0.5054
N2 0.0503 0.3683 0.0054
N3 0.9497 0.6317 0.9946
N4 0.9497 0.8683 0.4946
O1 0.2187 0.7024 0.3304
O2 0.2187 0.7976 0.8304
O3 0.7813 0.2024 0.1696
O4 0.7813 0.2976 0.6696